Material: Cr3SeF
Method: DFT, GGA+U
State: optimized geometry

Values from the calculation:
* excess energy over the best structure of this formula in the dataset: 0.174 eV/atom
* crystal system: cubic
* total magnetization: 15.0 μB per formula unit

abc: 5.037 5.037 5.037
angles: 90.00 90.00 90.00
Positions (direct):
Cr 0.000 0.000 0.500
Cr 0.000 0.500 0.000
Cr 0.500 0.000 0.000
Se 0.000 0.000 0.000
F 0.500 0.500 0.500